# 1
Below is a relaxed K3Tm2ThTe6 crystal, with properties calculated at the PBE-GGA level.

POSCAR file:
```
K3Tm2ThTe6
1.0
3.8633 -6.6921 0.0000
3.8633 6.6921 0.0000
-2.5783 0.0000 8.3029
K Tm Th Te
3 2 1 6
Direct
0.0000 0.0000 0.0000
0.3352 0.6648 0.0000
0.6648 0.3352 0.0000
0.1669 0.8331 0.5000
0.8331 0.1669 0.5000
0.5000 0.5000 0.5000
0.0890 0.4296 0.2890
0.2295 0.2295 0.7104
0.4296 0.0890 0.2890
0.5704 0.9110 0.7110
0.7705 0.7705 0.2896
0.9110 0.5704 0.7110
```

Computed properties:
* magnetic moment: 0.0000 μB per atom
* density of states at the Fermi level: 0.377 states/eV/atom
* uncorrected formation energy: -124.9 kJ per mole of atoms

=====

# 2
Below is a relaxed K3Tm3ThTe8 crystal, with properties calculated at the PBE-GGA level.

POSCAR file:
```
K3Tm3ThTe8
1.0
7.6862 -4.4391 0.0000
7.6862 4.4391 0.0000
-5.1285 0.0000 8.3586
K Tm Th Te
3 3 1 8
Direct
0.0000 0.0000 0.0000
0.0000 0.5000 0.0000
0.5000 0.0000 0.0000
0.0000 0.5000 0.5000
0.5000 0.0000 0.5000
0.5000 0.5000 0.5000
0.0000 0.0000 0.5000
0.2405 0.2405 0.7081
0.2404 0.7273 0.7081
0.2651 0.2651 0.2954
0.2727 0.7596 0.2919
0.7273 0.2404 0.7081
0.7349 0.7349 0.7046
0.7596 0.2727 0.2919
0.7595 0.7595 0.2919
```

Computed properties:
* magnetic moment: 0.0000 μB per atom
* uncorrected formation energy: -129.3 kJ per mole of atoms

=====

# 3
Below is a relaxed K3ThU2Te6 crystal, with properties calculated at the PBE-GGA level.

POSCAR file:
```
K3ThU2Te6
1.0
3.8935 -6.7437 0.0000
3.8935 6.7437 0.0000
-2.5951 0.0000 8.3839
K Th U Te
3 1 2 6
Direct
0.0000 0.0000 0.0000
0.3341 0.6659 0.0000
0.6659 0.3341 0.0000
0.5000 0.5000 0.5000
0.1669 0.8331 0.5000
0.8331 0.1669 0.5000
0.0931 0.4280 0.2843
0.2366 0.2366 0.7153
0.4280 0.0931 0.2843
0.5720 0.9069 0.7157
0.7634 0.7634 0.2847
0.9069 0.5720 0.7157
```

Computed properties:
* magnetic moment: 0.5831 μB per atom
* density of states at the Fermi level: 1.135 states/eV/atom
* uncorrected formation energy: -92.7 kJ per mole of atoms

=====

# 4
Below is a relaxed K4Y3ThTe8 crystal, with properties calculated at the PBE-GGA level.

POSCAR file:
```
K4Y3ThTe8
1.0
4.4926 2.5938 8.2963
-4.4926 2.5938 8.2963
0.0000 -5.1876 8.2963
K Y Th Te
4 3 1 8
Direct
0.0000 0.0000 0.0000
0.0000 0.5000 0.5000
0.5000 0.0000 0.5000
0.5000 0.5000 0.0000
0.0000 0.0000 0.5000
0.0000 0.5000 0.0000
0.5000 0.0000 0.0000
0.5000 0.5000 0.5000
0.2343 0.7393 0.7393
0.2364 0.2364 0.2364
0.2607 0.2607 0.7657
0.2607 0.7657 0.2607
0.7393 0.2343 0.7393
0.7393 0.7393 0.2343
0.7636 0.7636 0.7636
0.7657 0.2607 0.2607
```

Computed properties:
* magnetic moment: 0.0000 μB per atom
* density of states at the Fermi level: 0.321 states/eV/atom
* uncorrected formation energy: -130.1 kJ per mole of atoms

=====

# 5
Below is a relaxed K2YTh2Te6 crystal, with properties calculated at the PBE-GGA level.

POSCAR file:
```
K2YTh2Te6
1.0
3.8619 -6.6825 0.0000
3.8619 6.6825 0.0000
-2.6005 0.0000 8.5206
K Y Th Te
2 1 2 6
Direct
0.1677 0.8323 0.0000
0.8323 0.1677 0.0000
0.0000 0.0000 0.5000
0.3328 0.6672 0.5000
0.6672 0.3328 0.5000
0.0745 0.4017 0.7134
0.2597 0.2597 0.2876
0.4017 0.0745 0.7134
0.5983 0.9255 0.2866
0.7403 0.7403 0.7124
0.9255 0.5983 0.2866
```

Computed properties:
* magnetic moment: 0.0000 μB per atom
* density of states at the Fermi level: 0.486 states/eV/atom
* uncorrected formation energy: -122.6 kJ per mole of atoms

=====

# 6
Below is a relaxed K4YTh3Te8 crystal, with properties calculated at the PBE-GGA level.

POSCAR file:
```
K4YTh3Te8
1.0
4.4719 2.5819 8.4438
-4.4719 2.5819 8.4438
0.0000 -5.1637 8.4438
K Y Th Te
4 1 3 8
Direct
0.0000 0.0000 0.0000
0.0000 0.5000 0.5000
0.5000 0.0000 0.5000
0.5000 0.5000 0.0000
0.5000 0.5000 0.5000
0.0000 0.0000 0.5000
0.0000 0.5000 0.0000
0.5000 0.0000 0.0000
0.2407 0.2407 0.2407
0.2441 0.7364 0.7364
0.2636 0.2636 0.7559
0.2636 0.7559 0.2636
0.7364 0.2441 0.7364
0.7364 0.7364 0.2441
0.7559 0.2636 0.2636
0.7593 0.7593 0.7593
```

Computed properties:
* magnetic moment: 0.0000 μB per atom
* density of states at the Fermi level: 0.636 states/eV/atom
* uncorrected formation energy: -118.5 kJ per mole of atoms